No. 1
Below is a relaxed structure of HfCo2PdC, with properties calculated at the PBE-GGA level.

a b c (Å): 4.6658 3.7272 4.6658
angles (deg): 90.00 90.00 90.00
Last column: nearest neighbours and their distance in Å.
Fractional positions:
C1 0.0000 0.5000 0.0000  2 Pd 1.86
Co1 0.5000 0.0000 0.0000  2 Pd 2.33
Co2 0.0000 0.0000 0.5000  2 Pd 2.33
Pd1 0.0000 0.0000 0.0000  2 C 1.86
Hf1 0.5000 0.5000 0.5000  8 Co 2.99, 4 C 3.30

Density = 8.49 g/cm3
Raw total energy = -6.465 eV/atom
Relative energy among the computed polymorphs = 1323 meV per atom
Calculated volume = 81.1 Å³ per cell
DFT formation energy = 1252 meV/atom
Total magnetization = 2.65 μB/f.u.

No. 2
Below is a relaxed structure of YIn2Os, with properties calculated at the PBE-GGA level.

a b c (Å): 9.7388 9.7388 9.7388
angles (deg): 19.37 19.37 19.37
Last column: nearest neighbours and their distance in Å.
Fractional positions:
In1 0.9882 0.9882 0.9882  3 Os 2.79
In2 0.5118 0.5118 0.5118  3 Os 2.79
Y1 0.7500 0.7500 0.7500  6 Y 3.28, 6 In 3.32
Os1 0.2500 0.2500 0.2500  6 In 2.79

Density = 9.51 g/cm3
Raw total energy = -5.500 eV/atom
Calculated volume = 88.8 Å³ per cell
DFT formation energy = 293 meV/atom
Total magnetization = 0.00 μB/f.u.

Copy entry 1 word for word.
Below is a relaxed structure of HfCo2PdC, with properties calculated at the PBE-GGA level.

a b c (Å): 4.6658 3.7272 4.6658
angles (deg): 90.00 90.00 90.00
Last column: nearest neighbours and their distance in Å.
Fractional positions:
C1 0.0000 0.5000 0.0000  2 Pd 1.86
Co1 0.5000 0.0000 0.0000  2 Pd 2.33
Co2 0.0000 0.0000 0.5000  2 Pd 2.33
Pd1 0.0000 0.0000 0.0000  2 C 1.86
Hf1 0.5000 0.5000 0.5000  8 Co 2.99, 4 C 3.30

Density = 8.49 g/cm3
Raw total energy = -6.465 eV/atom
Relative energy among the computed polymorphs = 1323 meV per atom
Calculated volume = 81.1 Å³ per cell
DFT formation energy = 1252 meV/atom
Total magnetization = 2.65 μB/f.u.

Q: Which of these has the highest density?
A: YIn2Os